LiVHgF6 | GGA+U | optimized geometry

Calculated values
energy = -85.40 eV for the cell shown
symmetry = P-31c, No. 163

Structure (extended XYZ):
```
18
Lattice="5.284 0.000 0.000 -2.642 4.576 0.000 0.000 0.000 9.956" Properties=species:S:1:pos:R:3 pbc="T T T"
Li 0.000 3.051 2.489
Li 2.642 1.525 7.467
V 0.000 3.051 7.467
V 2.642 1.525 2.489
Hg 0.000 0.000 0.000
Hg 0.000 0.000 4.978
F -0.902 1.671 6.376
F -1.646 2.960 8.558
F 0.902 1.671 8.558
F -0.744 4.522 6.376
F 1.898 0.054 1.398
F 0.996 1.617 3.580
F 1.646 2.960 6.376
F 0.744 4.522 8.558
F 3.386 0.054 3.580
F 1.740 2.905 1.398
F 4.288 1.617 1.398
F 3.544 2.905 3.580
```